Entry 1:
Below is an optimized crystal structure of CeSmMgGa, with properties calculated at the PBE level.

Fermi-level density of states (states/eV/atom): 2.247
Spin magnetization (μB per cell): 0.74
V (Å³/atom): 25.85
Uncorrected energy (eV/atom): -4.068
Symmetry: F-43m (216)

Geometry as extended XYZ:
```
4
Lattice="-2.323 -3.373 -3.314 2.086 -4.772 -0.793 -2.430 -4.282 1.874" Properties=species:S:1:pos:R:3 pbc="T T T"
Sm -1.333 -6.213 -1.116
Ce 0.000 0.000 0.000
Mg -2.000 -9.320 -1.674
Ga -0.667 -3.107 -0.558
```


Entry 2:
Below is an optimized crystal structure of TaBe2Hg2, with properties calculated at the PBE level.

Relative energy among the computed polymorphs (meV/atom): 52
Fermi-level density of states (states/eV/atom): 0.270
Spin magnetization (μB per cell): 0.00
V (Å³/atom): 15.61
Symmetry: I4/mmm (139)

Geometry as extended XYZ:
```
5
Lattice="-3.050 2.090 1.309 -2.457 -2.751 -1.333 -2.484 -2.732 4.449" Properties=species:S:1:pos:R:3 pbc="T T T"
Be -2.702 -0.791 0.844
Ta 0.000 0.000 0.000
Be -5.289 -2.602 3.581
Hg -4.144 -0.486 2.873
Hg -3.847 -2.907 1.552
```


Entry 3:
Below is an optimized crystal structure of HfN, with properties calculated at the PBE level.

Fermi-level density of states (states/eV/atom): 0.366
Spin magnetization (μB per cell): 0.00
V (Å³/atom): 14.97
Formation energy without anion corrections (eV per atom): -1.54
Symmetry: I4/m (87)

Geometry as extended XYZ:
```
16
Lattice="-4.803 -0.055 5.512 -3.020 -6.090 -2.692 2.827 -2.480 2.438" Properties=species:S:1:pos:R:3 pbc="T T T"
Hf -4.203 -5.308 -0.525
N -0.152 -3.244 0.996
Hf -0.873 -2.302 2.790
N -2.175 -2.006 4.601
Hf -3.681 -3.530 4.796
Hf -3.620 -0.837 3.345
N -2.697 -3.784 -0.721
N -5.477 -5.077 1.187
Hf -6.198 -4.134 2.981
N -2.346 -1.068 1.633
Hf -1.315 -5.095 0.462
N -5.125 -2.361 3.541
N -4.844 -5.380 4.262
N -2.821 -6.619 0.658
Hf -1.625 -2.010 -0.161
Hf -4.123 -6.323 2.468
```


Entry 4:
Below is an optimized crystal structure of Pm2ErInC, with properties calculated at the PBE level.

Fermi-level density of states (states/eV/atom): 0.413
Spin magnetization (μB per cell): 0.00
V (Å³/atom): 25.33
Uncorrected energy (eV/atom): -5.615
Symmetry: P4/mmm (123)

Geometry as extended XYZ:
```
5
Lattice="-4.483 -0.965 1.659 1.804 -0.193 4.762 -0.877 4.992 0.535" Properties=species:S:1:pos:R:3 pbc="T T T"
Pm -0.438 2.496 0.267
Er -2.241 -0.483 0.829
C 0.000 0.000 0.000
In -1.778 1.917 3.478
Pm 0.902 -0.097 2.381
```